# 1
A relaxed Pm6In2N crystal, computed with PBE.

Unit cell a=3.574 b=9.396 c=8.884 alpha=121.93 beta=90.00 gamma=90.00
Fractional coordinates of all 9 atoms:
Pm: 0.500 0.595 0.000
Pm: 0.500 0.406 0.433
Pm: 0.500 0.974 0.567
Pm: 0.000 0.225 0.000
Pm: 0.000 0.797 0.787
Pm: 0.000 0.010 0.213
In: 0.000 0.303 0.669
In: 0.000 0.634 0.331
N: 0.500 0.057 0.000

Output
Its energy above the most stable polymorph in this dataset is 2.08 eV per formula unit. The total magnetization comes out at 0.0 μB/cell. For the energy relative to the elements, uncorrected, the calculation gives -0.349 eV per atom. As for the space-group type: Amm2. The electronic total energy comes out at -5.0495 eV per atom. The density of states at the Fermi level comes out at 9.4 states/eV per cell.

---

# 2
A relaxed Pm4InN crystal, computed with PBE.

Unit cell a=5.939 b=7.229 c=8.481 alpha=106.26 beta=110.45 gamma=90.04
Fractional coordinates of all 12 atoms:
Pm: 0.435 0.074 0.782
Pm: 0.653 0.426 0.218
Pm: 0.565 0.926 0.218
Pm: 0.347 0.574 0.782
Pm: 0.837 0.811 0.617
Pm: 0.221 0.689 0.383
Pm: 0.163 0.189 0.383
Pm: 0.779 0.311 0.617
In: 0.954 0.751 0.000
In: 0.046 0.249 0.000
N: 0.500 0.000 0.500
N: 0.000 0.500 0.500

Output
The total magnetization comes out at 0.0 μB/cell. For the energy relative to the elements, uncorrected, the calculation gives -0.580 eV per atom. As for the space-group type: P-1. The electronic total energy comes out at -5.5913 eV per atom. The density of states at the Fermi level comes out at 10.6 states/eV per cell.

---

# 3
A relaxed Pm2InN crystal, computed with PBE.

Unit cell a=3.650 b=3.650 c=8.433 alpha=77.50 beta=77.50 gamma=60.00
Fractional coordinates of all 4 atoms:
N: 0.500 0.500 0.500
In: 0.000 0.000 0.000
Pm: 0.777 0.777 0.670
Pm: 0.223 0.223 0.330

Output
Its energy above the most stable polymorph in this dataset is 0.00 eV per formula unit. The total magnetization comes out at 0.0 μB/cell. For the energy relative to the elements, uncorrected, the calculation gives -0.894 eV per atom. As for the space-group type: R-3m. The electronic total energy comes out at -6.0356 eV per atom. The density of states at the Fermi level comes out at 4.0 states/eV per cell.

---

# 4
A relaxed Pm2InN crystal, computed with PBE.

Unit cell a=3.188 b=3.188 c=8.220 alpha=90.00 beta=90.00 gamma=90.00
Fractional coordinates of all 4 atoms:
N: 0.500 0.500 0.000
In: 0.500 0.500 0.500
Pm: 0.000 0.000 0.820
Pm: 0.000 0.000 0.180

Output
Its energy above the most stable polymorph in this dataset is 1.63 eV per formula unit. The total magnetization comes out at 0.0 μB/cell. For the energy relative to the elements, uncorrected, the calculation gives -0.486 eV per atom. As for the space-group type: P4/mmm. The electronic total energy comes out at -5.6275 eV per atom. The density of states at the Fermi level comes out at 3.0 states/eV per cell.

---

# 5
A relaxed Pm6In2N crystal, computed with PBE.

Unit cell a=7.090 b=7.090 c=7.090 alpha=60.00 beta=60.00 gamma=60.01
Fractional coordinates of all 9 atoms:
Pm: 0.256 0.256 0.744
Pm: 0.256 0.744 0.256
Pm: 0.744 0.256 0.744
Pm: 0.744 0.256 0.256
Pm: 0.256 0.744 0.744
Pm: 0.744 0.744 0.256
In: 0.250 0.250 0.250
In: 0.750 0.750 0.750
N: 0.500 0.500 0.500

Output
Its energy above the most stable polymorph in this dataset is 0.00 eV per formula unit. The total magnetization comes out at 0.0 μB/cell. For the energy relative to the elements, uncorrected, the calculation gives -0.580 eV per atom. As for the space-group type: Fm-3m. The electronic total energy comes out at -5.2808 eV per atom. The density of states at the Fermi level comes out at 5.9 states/eV per cell.

---

# 6
A relaxed PmPrInN3 crystal, computed with PBE.

Unit cell a=3.512 b=6.062 c=8.998 alpha=99.12 beta=90.00 gamma=90.00
Fractional coordinates of all 12 atoms:
Pm: 0.250 0.761 0.051
Pm: 0.750 0.239 0.949
Pr: 0.750 0.663 0.690
Pr: 0.250 0.337 0.310
In: 0.250 0.151 0.641
In: 0.750 0.849 0.359
N: 0.250 0.750 0.485
N: 0.750 0.045 0.168
N: 0.750 0.539 0.165
N: 0.750 0.250 0.515
N: 0.250 0.461 0.835
N: 0.250 0.955 0.832

Output
The total magnetization comes out at 0.0 μB/cell. For the energy relative to the elements, uncorrected, the calculation gives -0.805 eV per atom. As for the space-group type: P2_1/m. The electronic total energy comes out at -7.0121 eV per atom. The density of states at the Fermi level comes out at 0.1 states/eV per cell.

---

# 7
A relaxed Pm12PrIn4N3 crystal, computed with PBE.

Unit cell a=8.849 b=8.849 c=8.849 alpha=109.47 beta=109.47 gamma=109.47
Fractional coordinates of all 20 atoms:
Pm: 0.250 0.500 0.750
Pm: 0.725 0.000 0.725
Pm: 0.275 0.000 0.275
Pm: 0.750 0.500 0.250
Pm: 0.725 0.725 0.000
Pm: 0.275 0.275 0.000
Pm: 0.750 0.250 0.500
Pm: 0.250 0.750 0.500
Pm: 0.500 0.250 0.750
Pm: 0.000 0.725 0.725
Pm: 0.500 0.750 0.250
Pm: 0.000 0.275 0.275
Pr: 0.000 0.000 0.000
In: 0.500 0.500 0.500
In: 0.000 0.000 0.500
In: 0.500 0.000 0.000
In: 0.000 0.500 0.000
N: 0.500 0.000 0.500
N: 0.500 0.500 0.000
N: 0.000 0.500 0.500

Output
The total magnetization comes out at 0.0 μB/cell. For the energy relative to the elements, uncorrected, the calculation gives -0.472 eV per atom. As for the space-group type: Im-3m. The electronic total energy comes out at -5.3576 eV per atom. The density of states at the Fermi level comes out at 14.8 states/eV per cell.

---

# 8
A relaxed PmPr2InN crystal, computed with PBE.

Unit cell a=4.998 b=5.087 c=5.087 alpha=90.00 beta=90.00 gamma=90.00
Fractional coordinates of all 5 atoms:
Pm: 0.500 0.000 0.000
Pr: 0.000 0.000 0.500
Pr: 0.000 0.500 0.000
In: 0.500 0.500 0.500
N: 0.000 0.000 0.000

Output
The total magnetization comes out at 0.0 μB/cell. For the energy relative to the elements, uncorrected, the calculation gives -0.848 eV per atom. As for the space-group type: P4/mmm. The electronic total energy comes out at -5.9232 eV per atom. The density of states at the Fermi level comes out at 2.8 states/eV per cell.

---

# 9
A relaxed PmPr12In4N3 crystal, computed with PBE.

Unit cell a=8.984 b=8.984 c=8.984 alpha=109.47 beta=109.47 gamma=109.47
Fractional coordinates of all 20 atoms:
Pm: 0.000 0.000 0.000
Pr: 0.250 0.500 0.750
Pr: 0.725 0.000 0.725
Pr: 0.275 0.000 0.275
Pr: 0.750 0.500 0.250
Pr: 0.725 0.725 0.000
Pr: 0.275 0.275 0.000
Pr: 0.750 0.250 0.500
Pr: 0.250 0.750 0.500
Pr: 0.500 0.250 0.750
Pr: 0.000 0.725 0.725
Pr: 0.500 0.750 0.250
Pr: 0.000 0.275 0.275
In: 0.500 0.500 0.500
In: 0.000 0.000 0.500
In: 0.500 0.000 0.000
In: 0.000 0.500 0.000
N: 0.500 0.000 0.500
N: 0.500 0.500 0.000
N: 0.000 0.500 0.500

Output
The total magnetization comes out at 0.0 μB/cell. For the energy relative to the elements, uncorrected, the calculation gives -0.441 eV per atom. As for the space-group type: Im-3m. The electronic total energy comes out at -5.3424 eV per atom. The density of states at the Fermi level comes out at 15.9 states/eV per cell.

---

# 10
A relaxed Pm2PrInN crystal, computed with PBE.

Unit cell a=5.082 b=4.998 c=4.998 alpha=90.00 beta=90.00 gamma=90.00
Fractional coordinates of all 5 atoms:
Pm: 0.000 0.000 0.500
Pm: 0.000 0.500 0.000
Pr: 0.500 0.000 0.000
In: 0.500 0.500 0.500
N: 0.000 0.000 0.000

Output
The total magnetization comes out at 0.0 μB/cell. For the energy relative to the elements, uncorrected, the calculation gives -0.872 eV per atom. As for the space-group type: P4/mmm. The electronic total energy comes out at -5.9405 eV per atom. The density of states at the Fermi level comes out at 2.7 states/eV per cell.

---

# 11
A relaxed Pm2PuInN crystal, computed with PBE.

Unit cell a=4.702 b=5.057 c=5.057 alpha=90.00 beta=90.00 gamma=90.00
Last column: magnetic moment on the atom in μB.
Fractional coordinates of all 5 atoms:
Pm: 0.000 0.000 0.500  0.14
Pm: 0.000 0.500 0.000  0.14
Pu: 0.500 0.000 0.000  5.18
In: 0.500 0.500 0.500  -0.06
N: 0.000 0.000 0.000  -0.16

Output
The total magnetization comes out at 5.6 μB/cell. For the energy relative to the elements, uncorrected, the calculation gives -0.767 eV per atom. As for the space-group type: P4/mmm. The electronic total energy comes out at -7.7467 eV per atom. The density of states at the Fermi level comes out at 7.6 states/eV per cell.

---

# 12
A relaxed Pm2PuInN4 crystal, computed with PBE.

Unit cell a=3.527 b=6.083 c=6.115 alpha=110.71 beta=90.00 gamma=90.00
Last column: magnetic moment on the atom in μB.
Fractional coordinates of all 8 atoms:
Pm: 0.500 0.000 0.500  0.14
Pm: 0.000 0.500 0.500  0.11
Pu: 0.500 0.500 0.000  4.61
In: 0.000 0.000 0.000  0.01
N: 0.500 0.247 0.235  -0.05
N: 0.500 0.753 0.765  -0.05
N: 0.000 0.269 0.761  -0.12
N: 0.000 0.731 0.239  -0.12

Output
The total magnetization comes out at 4.8 μB/cell. For the energy relative to the elements, uncorrected, the calculation gives -0.909 eV per atom. As for the space-group type: P2/m. The electronic total energy comes out at -8.3928 eV per atom. The density of states at the Fermi level comes out at 6.5 states/eV per cell.

---

total magnetization of number 11 (Pm2PuInN)? 5.6 μB/cell